1.
# Nd2DyTm5In

A relaxed structure of Nd2DyTm5In (PBE, the Alexandria database).

## Properties
Its energy of formation is -0.009 eV per atom. For the total magnetization, the calculation gives 0.0000 μB/atom. Its space group is Cmcm. As for the electronic total energy: -4.368 eV per atom. The calculation puts the density at 8.4 g/cm3.

Lattice parameters (Å, degrees): 5.3041 10.5027 10.3814 90.00 90.00 104.63
Sites, in units of the cell vectors:
Nd 0.8833 0.7667 0.7946
Nd 0.1166 0.2333 0.7216
Nd 0.1167 0.2333 0.2946
Nd 0.8834 0.7667 0.2216
Dy 0.7897 0.5795 0.5082
Dy 0.2103 0.4205 0.0082
Tm 0.3838 0.7677 0.0081
Tm 0.7123 0.4245 0.8121
Tm 0.5001 0.0002 0.7583
Tm 0.2876 0.5751 0.7043
Tm 0.9912 0.9823 0.5081
Tm 0.6162 0.2323 0.5081
Tm 0.2877 0.5755 0.3121
Tm 0.4999 0.9998 0.2583
Tm 0.7124 0.4249 0.2043
Tm 0.0088 0.0177 0.0081
In 0.5963 0.1925 0.0084
In 0.4037 0.8075 0.5084


2.
# Nd6Dy2Tm3In

A relaxed structure of Nd6Dy2Tm3In (PBE, the Alexandria database).

## Properties
Its energy of formation is -0.035 eV per atom. For the total magnetization, the calculation gives 0.0000 μB/atom. Its space group is C2/m. As for the electronic total energy: -4.532 eV per atom. The calculation puts the density at 7.8 g/cm3.

Lattice parameters (Å, degrees): 6.1879 6.1879 11.7731 95.06 95.06 120.10
Sites, in units of the cell vectors:
Nd 0.9170 0.5895 0.7503
Nd 0.7560 0.7560 0.2507
Nd 0.0830 0.4105 0.2497
Nd 0.5895 0.9170 0.7503
Nd 0.2440 0.2440 0.7493
Nd 0.4105 0.0830 0.2497
Dy 0.3335 0.6665 0.0000
Dy 0.6665 0.3335 0.0000
Tm 0.1675 0.8325 0.5000
Tm 0.8325 0.1675 0.5000
Tm 0.5000 0.5000 0.5000
In 0.0000 0.0000 0.0000


3.
# Nd3Dy6Tm2In

A relaxed structure of Nd3Dy6Tm2In (PBE, the Alexandria database).

## Properties
Its energy of formation is -0.033 eV per atom. For the total magnetization, the calculation gives 0.0001 μB/atom. Its space group is C2/m. As for the electronic total energy: -4.499 eV per atom. The calculation puts the density at 8.2 g/cm3.

Lattice parameters (Å, degrees): 6.1503 6.1503 11.6222 95.08 95.08 120.02
Sites, in units of the cell vectors:
Nd 0.1670 0.8330 0.5000
Nd 0.8330 0.1670 0.5000
Nd 0.5000 0.5000 0.5000
Dy 0.9203 0.5923 0.7583
Dy 0.7519 0.7519 0.2429
Dy 0.0797 0.4077 0.2417
Dy 0.5923 0.9203 0.7583
Dy 0.2481 0.2481 0.7571
Dy 0.4077 0.0797 0.2417
Tm 0.3339 0.6661 0.0000
Tm 0.6661 0.3339 0.0000
In 0.0000 0.0000 0.0000


4.
# Nd2DyTmIn2

A relaxed structure of Nd2DyTmIn2 (PBE, the Alexandria database).

## Properties
Its energy of formation is -0.347 eV per atom. For the total magnetization, the calculation gives 0.0000 μB/atom. Its space group is Pmc2_1. As for the electronic total energy: -4.362 eV per atom. The calculation puts the density at 7.9 g/cm3.

Lattice parameters (Å, degrees): 5.2342 6.8027 9.9851 90.00 90.00 90.00
Sites, in units of the cell vectors:
Nd 0.5000 0.0429 0.0390
Nd 0.0000 0.3206 0.1817
Nd 0.5000 0.5429 0.9610
Nd 0.0000 0.8206 0.8183
Dy 0.0000 0.9716 0.4624
Dy 0.0000 0.4716 0.5376
Tm 0.5000 0.1941 0.6780
Tm 0.5000 0.6941 0.3220
In 0.0000 0.2958 0.8467
In 0.5000 0.2206 0.3664
In 0.0000 0.7958 0.1533
In 0.5000 0.7206 0.6336


5.
# Nd2Dy2Tm2In

A relaxed structure of Nd2Dy2Tm2In (PBE, the Alexandria database).

## Properties
Its energy of formation is -0.020 eV per atom. For the total magnetization, the calculation gives 0.0001 μB/atom. Its space group is C2/m. As for the electronic total energy: -4.365 eV per atom. The calculation puts the density at 8.0 g/cm3.

Lattice parameters (Å, degrees): 3.5267 6.1472 11.5835 112.17 90.00 106.67
Sites, in units of the cell vectors:
Nd 0.5282 0.0565 0.7561
Nd 0.4718 0.9435 0.2439
Dy 0.6765 0.3531 0.0863
Dy 0.3235 0.6469 0.9137
Tm 0.7470 0.4940 0.6299
Tm 0.2530 0.5060 0.3701
In 0.0000 0.0000 0.5000


6.
# NdDyTmIn

A relaxed structure of NdDyTmIn (PBE, the Alexandria database).

## Properties
Its energy of formation is -0.147 eV per atom. The energy above the most stable polymorph in this dataset comes out at 0 meV/atom. For the total magnetization, the calculation gives 0.1664 μB/atom. Its space group is F-43m. As for the electronic total energy: -4.292 eV per atom. The calculation puts the density at 8.4 g/cm3.

Lattice parameters (Å, degrees): 5.4852 5.4852 5.4852 60.00 60.00 60.00
Last column: magnetic moment on the atom in μB.
Sites, in units of the cell vectors:
In 0.2500 0.2500 0.2500  0.00
Tm 0.7500 0.7500 0.7500  0.19
Nd 0.5000 0.5000 0.5000  0.11
Dy 0.0000 0.0000 0.0000  0.16


7.
# Nd6Dy3Tm2In

A relaxed structure of Nd6Dy3Tm2In (PBE, the Alexandria database).

## Properties
Its energy of formation is -0.028 eV per atom. For the total magnetization, the calculation gives 0.0000 μB/atom. Its space group is C2/m. As for the electronic total energy: -4.536 eV per atom. The calculation puts the density at 7.8 g/cm3.

Lattice parameters (Å, degrees): 6.2107 6.2107 11.7696 95.10 95.10 120.14
Sites, in units of the cell vectors:
Nd 0.9186 0.5906 0.7538
Nd 0.7541 0.7541 0.2478
Nd 0.0814 0.4094 0.2462
Nd 0.5906 0.9186 0.7538
Nd 0.2459 0.2459 0.7522
Nd 0.4094 0.0814 0.2462
Dy 0.1679 0.8321 0.5000
Dy 0.8321 0.1679 0.5000
Dy 0.5000 0.5000 0.5000
Tm 0.3337 0.6663 0.0000
Tm 0.6663 0.3337 0.0000
In 0.0000 0.0000 0.0000


8.
# NdDy2TmIn4

A relaxed structure of NdDy2TmIn4 (PBE, the Alexandria database).

## Properties
Its energy of formation is -0.458 eV per atom. For the total magnetization, the calculation gives 0.0000 μB/atom. Its space group is R-3m. As for the electronic total energy: -4.133 eV per atom. The calculation puts the density at 8.4 g/cm3.

Lattice parameters (Å, degrees): 5.3364 5.3364 9.2833 73.30 73.30 60.00
Sites, in units of the cell vectors:
Nd 0.0000 0.0000 0.0000
Dy 0.7508 0.7508 0.7477
Dy 0.2492 0.2492 0.2523
Tm 0.5000 0.5000 0.5000
In 0.3769 0.3769 0.8693
In 0.8732 0.8732 0.3803
In 0.1268 0.1268 0.6197
In 0.6231 0.6231 0.1307


Question: Number 6 is which compound?
Answer: NdDyTmIn